Record 1
VASP calculation (PBE) on Na2MgNbS4 after structural relaxation.

Geometry as extended XYZ:
```
8
Lattice="4.571 -4.907 0.000 4.571 4.907 0.000 -4.570 0.000 4.574" Properties=species:S:1:pos:R:3 pbc="T T T"
Na 0.000 0.000 0.000
Na 2.286 -2.462 2.287
Mg 2.286 2.454 2.287
Nb 4.571 -0.002 0.000
S 2.576 1.226 0.185
S -0.183 -1.229 2.577
S 1.996 1.226 4.388
S 4.755 -1.229 1.997
```

Output
raw total energy	-4.8903	eV per atom

Record 2
VASP calculation (PBE) on Na2MgNbS4 after structural relaxation.

Geometry as extended XYZ:
```
8
Lattice="-3.198 3.198 5.063 3.198 -3.198 5.063 3.198 3.198 -5.063" Properties=species:S:1:pos:R:3 pbc="T T T"
Na 0.000 0.000 0.000
Na 0.000 3.198 2.531
Mg 3.198 0.000 2.531
Nb 0.000 0.000 5.063
S 1.528 -1.268 3.802
S 1.930 1.670 1.261
S 1.670 4.465 -1.261
S 1.268 1.528 6.324
```

Output
raw total energy	-4.8918	eV per atom

Record 3
VASP calculation (PBE) on NaMgNbTe3 after structural relaxation.

Geometry as extended XYZ:
```
12
Lattice="8.243 0.000 0.000 0.000 3.992 0.000 -3.945 0.000 10.334" Properties=species:S:1:pos:R:3 pbc="T T T"
Na 0.771 0.998 3.113
Na 3.527 2.994 7.221
Mg -1.657 0.998 6.439
Mg 5.956 2.994 3.895
Nb -0.470 2.994 9.310
Nb 4.769 0.998 1.024
Te -2.578 0.998 9.029
Te 0.043 2.994 5.586
Te 2.881 2.994 1.661
Te 1.418 0.998 8.674
Te 4.256 0.998 4.748
Te 6.876 2.994 1.305
```

Output
raw total energy	-4.3298	eV per atom
excess energy over the best structure of this formula in the dataset	0	meV per atom

Record 4
VASP calculation (PBE) on NaMgNbTe3 after structural relaxation.

Geometry as extended XYZ:
```
12
Lattice="2.041 -7.445 0.000 2.041 7.445 0.000 0.000 0.000 10.933" Properties=species:S:1:pos:R:3 pbc="T T T"
Na 2.041 3.891 8.200
Na 2.041 -3.891 2.733
Mg 2.041 0.510 2.733
Mg 2.041 -0.510 8.200
Nb 0.000 0.000 0.000
Nb 0.000 0.000 5.466
Te 2.041 6.137 2.733
Te 2.041 2.044 0.464
Te 2.041 2.044 5.003
Te 2.041 -2.044 5.930
Te 2.041 -2.044 10.469
Te 2.041 -6.137 8.200
```

Output
raw total energy	-4.2435	eV per atom
excess energy over the best structure of this formula in the dataset	86	meV per atom

Record 5
VASP calculation (PBE) on NaNdMg after structural relaxation.

Geometry as extended XYZ:
```
3
Lattice="0.000 3.737 3.737 3.737 0.000 3.737 3.737 3.737 0.000" Properties=species:S:1:pos:R:3 pbc="T T T"
Na 0.000 0.000 0.000
Nd 3.737 3.737 3.737
Mg 1.869 1.869 1.869
```

Output
raw total energy	-2.0745	eV per atom

Record 6
VASP calculation (PBE) on NaNdMgS3 after structural relaxation.

Geometry as extended XYZ:
```
24
Lattice="11.762 0.000 0.000 0.000 4.128 0.000 0.000 0.000 11.647" Properties=species:S:1:pos:R:3 pbc="T T T"
Na 1.557 1.032 0.142
Na 4.324 3.096 5.966
Na 7.438 1.032 5.681
Na 10.205 3.096 11.505
Nd 0.363 1.032 7.811
Nd 5.518 3.096 1.987
Nd 6.244 1.032 9.660
Nd 11.399 3.096 3.836
Mg 2.802 1.032 3.340
Mg 3.079 3.096 9.163
Mg 8.683 1.032 2.484
Mg 8.960 3.096 8.308
S 0.751 3.096 9.805
S 1.155 1.032 5.056
S 2.539 3.096 2.057
S 3.343 1.032 7.880
S 4.726 3.096 10.880
S 5.130 1.032 3.981
S 6.632 3.096 7.666
S 7.036 1.032 0.768
S 8.420 3.096 3.767
S 9.224 1.032 9.591
S 10.607 3.096 6.591
S 11.011 1.032 1.843
```

Output
raw total energy	-4.9362	eV per atom
excess energy over the best structure of this formula in the dataset	0	meV per atom

Record 7
VASP calculation (PBE) on NaNdMgS3 after structural relaxation.

Geometry as extended XYZ:
```
12
Lattice="2.051 -6.564 0.000 2.051 6.564 0.000 0.000 0.000 11.246" Properties=species:S:1:pos:R:3 pbc="T T T"
Na 2.051 3.296 8.434
Na 2.051 -3.296 2.811
Nd 0.000 0.000 0.000
Nd 0.000 0.000 5.623
Mg 2.051 0.362 2.811
Mg 2.051 -0.362 8.434
S 2.051 5.537 2.811
S 2.051 1.738 0.859
S 2.051 1.738 4.764
S 2.051 -1.738 6.482
S 2.051 -1.738 10.387
S 2.051 -5.537 8.434
```

Output
raw total energy	-4.8799	eV per atom
excess energy over the best structure of this formula in the dataset	56	meV per atom

Record 8
VASP calculation (PBE) on NaNdMgTe3 after structural relaxation.

Geometry as extended XYZ:
```
12
Lattice="2.239 -7.371 0.000 2.239 7.371 0.000 0.000 0.000 12.097" Properties=species:S:1:pos:R:3 pbc="T T T"
Na 2.239 3.824 9.073
Na 2.239 -3.824 3.024
Nd 0.000 0.000 0.000
Nd 0.000 0.000 6.048
Mg 2.239 0.425 3.024
Mg 2.239 -0.425 9.073
Te 2.239 6.077 3.024
Te 2.239 2.101 0.825
Te 2.239 2.101 5.223
Te 2.239 -2.101 6.873
Te 2.239 -2.101 11.272
Te 2.239 -6.077 9.073
```

Output
raw total energy	-3.9574	eV per atom
excess energy over the best structure of this formula in the dataset	0	meV per atom